1 | GGA-PBE Tl7Cd2Hg2, optimized geometry; DOS(E_F) = 0.392 states/eV per atom
1.0
-1.807 -3.425 5.433
7.287 -1.037 0.057
-1.091 6.913 2.282
Tl Cd Hg
7 2 2
Cartesian
5.941 1.269 2.080
2.695 -2.848 4.564
-1.552 1.181 5.692
1.695 5.298 3.208
0.000 0.000 0.000
0.171 -0.803 3.514
4.218 3.253 4.258
2.260 0.595 6.383
2.130 1.855 1.389
3.452 0.032 3.552
0.937 2.418 4.220

=====

2 | GGA-PBE Tl7Cd2Hg2, optimized geometry; DOS(E_F) = 0.525 states/eV per atom
1.0
-3.411 0.863 -0.994
-4.695 -9.046 1.532
-4.994 -1.827 8.828
Tl Cd Hg
7 2 2
Cartesian
-4.528 -0.178 1.936
-9.265 -4.893 7.371
-6.687 -1.709 8.014
-5.869 -4.435 2.840
-7.177 -6.881 5.205
-8.653 -7.888 9.394
-3.956 -2.210 4.933
-4.758 -7.528 3.066
-6.599 -3.838 5.862
-9.874 -8.272 6.527
-3.175 -2.988 1.574

=====

Least stable of them? 1.

=====

1 | GGA-PBE TlCdHg2, optimized geometry; DOS(E_F) = 0.155 states/eV per atom
1.0
-3.188 2.768 2.978
-2.499 -4.510 0.335
2.222 -0.987 3.296
Tl Hg Cd
1 2 1
Cartesian
-0.483 0.891 3.137
0.000 0.000 0.000
-2.843 -0.871 1.656
-0.138 -2.748 1.815

=====

2 | GGA-PBE TlCdHg2, optimized geometry; DOS(E_F) = 0.323 states/eV per atom
1.0
-5.260 0.895 -0.332
-3.146 -0.958 4.215
-2.192 4.073 2.680
Tl Hg Cd
1 2 1
Cartesian
-7.948 3.008 4.922
0.000 0.000 0.000
-2.649 1.003 1.641
-5.299 2.005 3.281

=====

3 | GGA-PBE TlCdHg2, optimized geometry; DOS(E_F) = 0.278 states/eV per atom
1.0
6.235 -0.008 0.010
2.809 5.566 -0.010
-4.011 -3.611 3.122
Tl Hg Cd
1 2 1
Cartesian
4.486 2.757 0.000
0.047 0.029 0.000
3.450 -0.372 1.566
1.572 2.313 1.556

=====

4 | GGA-PBE TlCdHg2, optimized geometry; DOS(E_F) = 0.379 states/eV per atom
1.0
-2.469 -0.753 2.194
2.967 0.063 1.634
-1.275 9.827 1.936
Tl Hg Cd
1 2 1
Cartesian
-0.642 4.950 0.975
-1.269 9.780 1.927
-0.059 2.028 2.381
-0.720 7.119 3.384

=====

Least stable of them? 4.

=====

1 | GGA-PBE TlCdHg2, optimized geometry; DOS(E_F) = 0.510 states/eV per atom
1.0
0.000 3.785 3.785
3.785 0.000 3.785
3.785 3.785 0.000
Tl Hg Cd
1 2 1
Cartesian
3.785 3.785 3.785
1.893 1.893 1.893
5.678 5.678 5.678
0.000 0.000 0.000

=====

2 | GGA-PBE TlCdHg2, optimized geometry; DOS(E_F) = 0.274 states/eV per atom
1.0
-4.018 -2.825 3.790
2.009 -5.290 2.543
1.150 6.073 -0.538
Tl Hg Cd
1 2 1
Cartesian
-1.937 -0.405 3.209
-0.024 -0.098 0.077
-0.980 -3.960 3.090
1.077 -1.638 2.586

=====

3 | GGA-PBE TlCdHg2, optimized geometry; DOS(E_F) = 0.330 states/eV per atom
1.0
-2.774 4.755 4.237
-2.788 -5.449 -3.285
3.440 2.945 5.268
Tl Cd Hg
1 1 2
Cartesian
0.333 3.850 4.753
0.000 0.000 0.000
0.504 5.829 7.197
0.162 1.870 2.309

=====

Least stable of them? 3.

=====

1 | GGA-PBE TlCdHg2, optimized geometry; DOS(E_F) = 0.339 states/eV per atom
1.0
-4.670 0.054 1.777
-0.547 -3.243 -1.339
1.703 -3.973 4.596
Tl Hg Cd
1 2 1
Cartesian
-2.046 -1.777 1.703
1.163 -6.990 3.268
0.571 -3.833 1.617
-1.468 -5.385 3.331

=====

2 | GGA-PBE TlCdHg2, optimized geometry; DOS(E_F) = 0.297 states/eV per atom
1.0
-5.443 -0.576 -2.214
-3.705 -2.264 4.001
3.823 4.497 0.152
Tl Hg Cd
1 2 1
Cartesian
-2.228 0.406 2.523
0.000 0.000 0.000
-4.574 -1.420 0.893
-3.097 1.250 -0.584

=====

Least stable of them? 1.

=====

1 | GGA-PBE TlCd12Hg6, optimized geometry; DOS(E_F) = 0.358 states/eV per atom
1.0
8.277 -0.055 -0.077
-2.105 8.005 -0.077
-2.105 -2.711 7.532
Tl Cd Hg
1 12 6
Cartesian
0.000 0.000 0.000
6.075 -0.518 3.689
4.562 3.310 4.661
2.076 2.673 6.484
1.991 -0.002 2.716
1.991 2.565 0.894
-0.495 1.929 2.716
-2.008 1.585 6.651
2.033 6.791 0.726
-2.008 5.757 3.689
6.075 3.653 0.726
2.033 -1.553 6.651
2.076 5.240 4.661
4.631 1.516 2.135
0.321 0.413 5.294
0.321 4.862 2.135
3.746 4.826 2.083
-0.564 3.723 5.243
3.746 0.376 5.243

=====

2 | GGA-PBE TlCd12Hg6, optimized geometry; DOS(E_F) = 0.330 states/eV per atom
1.0
7.840 0.083 0.739
0.680 7.811 0.739
0.089 0.083 7.874
Tl Cd Hg
1 12 6
Cartesian
0.000 0.000 0.000
4.764 1.919 3.985
2.186 3.422 5.077
3.784 4.604 2.597
3.845 6.057 5.366
6.423 4.554 4.275
4.825 3.372 6.754
6.858 7.305 5.930
3.344 1.695 1.082
0.918 3.205 2.028
1.752 0.671 3.422
5.265 6.281 8.269
7.691 4.771 7.323
2.965 0.736 6.296
7.416 2.020 5.877
2.414 5.076 7.876
5.645 7.241 3.055
1.193 5.957 3.474
6.196 2.900 1.476

=====

Least stable of them? 1.

=====

1 | GGA-PBE Tl2CdHg7, optimized geometry; DOS(E_F) = 0.209 states/eV per atom
1.0
3.465 -0.087 -0.046
-0.253 5.848 -1.341
-0.184 0.107 13.601
Tl Cd Hg
2 1 7
Cartesian
1.476 3.773 4.477
1.553 2.095 7.736
0.000 0.000 0.000
-0.248 5.083 7.111
3.277 0.784 5.102
-0.140 3.627 10.165
3.169 2.240 2.049
1.264 5.273 1.405
1.765 0.595 10.809
1.606 2.880 -0.694

=====

2 | GGA-PBE Tl2CdHg7, optimized geometry; DOS(E_F) = 0.204 states/eV per atom
1.0
5.240 0.000 0.000
-2.620 4.538 0.000
0.000 0.000 12.686
Tl Cd Hg
2 1 7
Cartesian
0.000 3.025 8.673
2.620 1.513 4.368
0.000 0.000 0.271
2.620 1.513 7.468
2.620 1.513 10.771
0.000 0.000 9.797
0.000 0.000 3.313
0.000 3.025 5.473
0.000 3.025 12.271
2.620 1.513 1.232

=====

Least stable of them? 2.